A plane-wave DFT calculation with PBEsol was carried out for a relaxed Sr3Cd crystal.

Theoretical density (g/cm³): 3.82
Total DFT energy (no corrections) (eV per atom): -1.650
Distance to the lowest polymorph of the same formula (eV per formula unit): 0.76
ΔH_f (0 K) (eV per atom): 0.03

Lattice parameters (Å, degrees): 7.052 7.052 7.052 116.65 116.65 116.65
Sites, in units of the cell vectors:
Sr1 0.000 0.500 0.500
Sr2 0.500 0.000 0.500
Sr3 0.500 0.500 0.000
Cd1 0.000 0.000 0.000